PmHo4TlS8 after structural relaxation. Source: Alexandria, functional PBE.

Cell: 8.288 8.288 8.288 Å, 59.01 59.01 59.01°
Fractional positions:
Pm  0.000  0.000  0.000
Ho  0.000  0.000  0.516
Ho  0.000  0.516  0.000
Ho  0.378  0.378  0.378
Ho  0.516  0.000  0.000
Tl  0.632  0.632  0.632
S  0.207  0.765  0.765
S  0.247  0.247  0.247
S  0.251  0.251  0.774
S  0.251  0.774  0.251
S  0.765  0.207  0.765
S  0.765  0.765  0.207
S  0.772  0.772  0.772
S  0.774  0.251  0.251

## Properties
The formation energy without anion corrections is -25.319 eV/f.u. As for the space-group type: R3m (160).

=====

CsLaTa6Br18 after structural relaxation. Source: Alexandria, functional PBE.

Cell: 10.039 10.039 18.612 Å, 90.00 90.00 120.00°
Fractional positions:
Cs  0.333  0.667  0.250
Cs  0.667  0.333  0.750
La  0.333  0.667  0.750
La  0.667  0.333  0.250
Ta  0.035  0.182  0.564
Ta  0.035  0.852  0.936
Ta  0.148  0.182  0.936
Ta  0.148  0.965  0.564
Ta  0.182  0.035  0.064
Ta  0.182  0.148  0.436
Ta  0.818  0.852  0.564
Ta  0.818  0.965  0.936
Ta  0.852  0.035  0.436
Ta  0.852  0.818  0.064
Ta  0.965  0.148  0.064
Ta  0.965  0.818  0.436
Br  0.042  0.227  0.341
Br  0.042  0.815  0.159
Br  0.077  0.438  0.659
Br  0.077  0.639  0.841
Br  0.142  0.411  0.000
Br  0.142  0.731  0.500
Br  0.185  0.227  0.159
Br  0.185  0.958  0.341
Br  0.227  0.042  0.841
Br  0.227  0.185  0.659
Br  0.269  0.411  0.500
Br  0.269  0.858  0.000
Br  0.361  0.438  0.841
Br  0.361  0.923  0.659
Br  0.411  0.142  0.500
Br  0.411  0.269  0.000
Br  0.438  0.077  0.159
Br  0.438  0.361  0.341
Br  0.562  0.639  0.659
Br  0.562  0.923  0.841
Br  0.589  0.731  0.000
Br  0.589  0.858  0.500
Br  0.639  0.077  0.341
Br  0.639  0.562  0.159
Br  0.731  0.142  0.000
Br  0.731  0.589  0.500
Br  0.773  0.815  0.341
Br  0.773  0.958  0.159
Br  0.815  0.042  0.659
Br  0.815  0.773  0.841
Br  0.858  0.269  0.500
Br  0.858  0.589  0.000
Br  0.923  0.361  0.159
Br  0.923  0.562  0.341
Br  0.958  0.185  0.841
Br  0.958  0.773  0.659

## Properties
The formation energy without anion corrections is -29.327 eV/f.u. As for the space-group type: P-31c (163).

=====

DyEr2Sb after structural relaxation. Source: Alexandria, functional PBE.

Cell: 9.905 9.905 9.905 Å, 22.79 22.79 22.79°
Fractional positions:
Dy  0.000  0.000  0.000
Er  0.234  0.234  0.234
Er  0.766  0.766  0.766
Sb  0.500  0.500  0.500

## Properties
The formation energy without anion corrections is -1.065 eV/f.u. The value obtained for the energy relative to the lowest polymorph listed for this composition is 6.397 kcal/mol of atoms. As for the space-group type: R-3m (166).

=====

CeNdSc2 after structural relaxation. Source: Alexandria, functional PBE.

Cell: 5.443 5.443 5.443 Å, 60.00 60.00 60.00°
Fractional positions:
Ce  0.000  0.000  0.000
Nd  0.500  0.500  0.500
Sc  0.250  0.250  0.250
Sc  0.750  0.750  0.750

## Properties
The value obtained for the energy of formation is 108 meV per atom. The value obtained for the energy relative to the lowest polymorph listed for this composition is 0.818 kcal/mol of atoms. As for the space-group type: Fm-3m (225).

=====

Tb8Pr2Sc after structural relaxation. Source: Alexandria, functional PBE.

Cell: 9.173 9.173 5.876 Å, 104.75 104.75 121.75°
Fractional positions:
Tb  0.100  0.326  0.668
Tb  0.204  0.796  0.000
Tb  0.326  0.100  0.668
Tb  0.413  0.413  0.200
Tb  0.587  0.587  0.800
Tb  0.674  0.900  0.332
Tb  0.796  0.204  0.000
Tb  0.900  0.674  0.332
Pr  0.306  0.694  0.500
Pr  0.694  0.306  0.500
Sc  0.000  0.000  0.000

## Properties
The value obtained for the energy of formation is 169 meV per atom. The value obtained for the energy relative to the lowest polymorph listed for this composition is 3.178 kcal/mol of atoms. As for the space-group type: C2/m (12).

=====

BaCaHg2 after structural relaxation. Source: Alexandria, functional PBE.

Cell: 3.963 3.993 8.069 Å, 90.00 90.06 90.00°
Fractional positions:
Ba  0.000  0.000  0.000
Ca  0.000  0.000  0.500
Hg  0.500  0.500  0.281
Hg  0.500  0.500  0.719

## Properties
The value obtained for the energy of formation is -516 meV per atom. As for the space-group type: P2/m (10).

=====

InPtCl2 after structural relaxation. Source: Alexandria, functional PBE.

Cell: 6.011 6.011 6.011 Å, 147.86 107.41 81.61°
Fractional positions:
In  0.000  0.000  0.000
Pt  0.777  0.277  0.500
Cl  0.212  0.712  0.500
Cl  0.575  0.575  0.000

## Properties
The formation energy without anion corrections is -1.172 eV/f.u. The value obtained for the energy relative to the lowest polymorph listed for this composition is 3.323 kcal/mol of atoms. As for the space-group type: Imm2 (44).

=====

LiSiB after structural relaxation. Source: Alexandria, functional PBE.

Cell: 6.072 6.072 4.052 Å, 90.00 90.00 149.38°
Fractional positions:
Li  0.081  0.919  0.750
Li  0.919  0.081  0.250
Si  0.341  0.659  0.750
Si  0.659  0.341  0.250
B  0.272  0.728  0.250
B  0.728  0.272  0.750

## Properties
The formation energy without anion corrections is 0.912 eV/f.u. As for the space-group type: Cmcm (63).

=====

Ce4PmZn5 after structural relaxation. Source: Alexandria, functional PBE.

Cell: 3.620 3.620 18.167 Å, 90.00 90.00 90.00°
Fractional positions:
Ce  0.000  0.000  0.099
Ce  0.000  0.000  0.297
Ce  0.000  0.000  0.703
Ce  0.000  0.000  0.901
Pm  0.000  0.000  0.500
Zn  0.500  0.500  0.000
Zn  0.500  0.500  0.198
Zn  0.500  0.500  0.398
Zn  0.500  0.500  0.602
Zn  0.500  0.500  0.802

## Properties
The value obtained for the energy of formation is -202 meV per atom. As for the space-group type: P4/mmm (123).

=====

CeNd4Pu3Se8 after structural relaxation. Source: Alexandria, functional PBE.

Cell: 8.377 8.377 8.391 Å, 119.73 119.73 60.17°
Fractional positions:
Ce  0.000  0.000  0.000
Nd  0.000  0.000  0.500
Nd  0.000  0.500  0.000
Nd  0.500  0.000  0.000
Nd  0.500  0.500  0.500
Pu  0.000  0.500  0.500
Pu  0.500  0.000  0.500
Pu  0.500  0.500  0.000
Se  0.249  0.249  0.255
Se  0.249  0.746  0.751
Se  0.252  0.252  0.747
Se  0.254  0.751  0.249
Se  0.746  0.249  0.751
Se  0.748  0.748  0.253
Se  0.751  0.254  0.249
Se  0.751  0.751  0.745

## Properties
The formation energy without anion corrections is -27.705 eV/f.u. As for the space-group type: C2/m (12).

=====

LaNb2FeAg after structural relaxation. Source: Alexandria, functional PBE.

Cell: 5.051 5.051 4.739 Å, 90.00 90.00 90.00°
Fractional positions:
La  0.000  0.000  0.000
Nb  0.000  0.500  0.500
Nb  0.500  0.000  0.500
Fe  0.500  0.500  0.000
Ag  0.500  0.500  0.500

## Properties
The value obtained for the energy of formation is 1508 meV per atom. As for the space-group type: P4/mmm (123).

=====

Nd5Sm8In after structural relaxation. Source: Alexandria, functional PBE.

Cell: 8.877 8.877 8.651 Å, 118.15 118.15 57.53°
Fractional positions:
Nd  0.000  0.000  0.000
Nd  0.291  0.612  0.728
Nd  0.388  0.709  0.272
Nd  0.573  0.229  0.044
Nd  0.771  0.427  0.956
Sm  0.080  0.537  0.928
Sm  0.175  0.076  0.681
Sm  0.281  0.375  0.288
Sm  0.463  0.920  0.072
Sm  0.561  0.071  0.577
Sm  0.625  0.719  0.712
Sm  0.924  0.825  0.319
Sm  0.929  0.439  0.423
In  0.719  0.281  0.500

## Properties
The value obtained for the energy of formation is 89 meV per atom. As for the space-group type: C2 (5).

=====

no.,calculated volume (Å³/atom)
1,28.11
2,31.24
3,32.00
4,28.51
5,32.58
6,31.92
7,26.94
8,12.68
9,23.80
10,26.16
11,24.18
12,34.62